(1)
This record from the Alexandria database describes a relaxed structure of YTlCl2. The functional is GGA-PBE.

Cell and atoms, written as POSCAR:
```
YTlCl2
1.0
1.935 -3.279 0.000
1.935 3.279 0.000
0.000 0.000 9.673
Y Tl Cl
1 1 2
direct
0.000 0.000 0.000
0.500 0.500 0.738
0.000 0.000 0.544
0.500 0.500 0.188
```

Values from the calculation:
N(E_F)	0.58	states/eV per cell
theoretical density	4.93	g/cm3
formation energy (no corrections)	-969	meV/atom
E_tot	-4.10	eV/atom
distance to the lowest polymorph of the same formula	370	meV per atom

(2)
This record from the Alexandria database describes a relaxed structure of TiCd2Au. The functional is GGA-PBE.

Cell and atoms, written as POSCAR:
```
TiCd2Au
1.0
4.174 0.000 0.000
0.000 4.174 0.000
0.000 0.000 4.415
Ti Cd Au
1 2 1
direct
0.000 0.000 0.000
0.000 0.500 0.500
0.500 0.000 0.500
0.500 0.500 0.000
```

Values from the calculation:
N(E_F)	3.62	states/eV per cell
theoretical density	10.14	g/cm3
E_tot	-3.33	eV/atom
energy relative to the elements	-0.083	eV/atom
distance to the lowest polymorph of the same formula	0	meV per atom

(3)
This record from the Alexandria database describes a relaxed structure of ZrVSn2. The functional is GGA-PBE.

Cell and atoms, written as POSCAR:
```
ZrVSn2
1.0
0.000 3.471 3.471
3.471 0.000 3.471
3.471 3.471 0.000
Zr V Sn
1 1 2
direct
0.000 0.000 0.000
0.500 0.500 0.500
0.250 0.250 0.250
0.750 0.750 0.750
```

Values from the calculation:
N(E_F)	5.62	states/eV per cell
theoretical density	7.54	g/cm3
E_tot	-6.38	eV/atom
energy relative to the elements	0.039	eV/atom
distance to the lowest polymorph of the same formula	0	meV per atom

(4)
This record from the Alexandria database describes a relaxed structure of FeHg2Rh. The functional is GGA-PBE.

Cell and atoms, written as POSCAR:
```
FeHg2Rh
1.0
3.036 0.000 0.000
0.000 3.842 0.000
-0.023 0.000 5.873
Fe Hg Rh
1 2 1
direct
0.000 0.000 0.000
0.499 0.500 0.249
0.501 0.500 0.751
0.000 0.000 0.500
```

Values from the calculation:
N(E_F)	3.32	states/eV per cell
theoretical density	13.57	g/cm3
E_tot	-3.78	eV/atom
energy relative to the elements	0.329	eV/atom
distance to the lowest polymorph of the same formula	154	meV per atom

(5)
This record from the Alexandria database describes a relaxed structure of Mg2ZrPt. The functional is GGA-PBE.

Cell and atoms, written as POSCAR:
```
Mg2ZrPt
1.0
0.000 3.324 3.324
3.324 0.000 3.324
3.324 3.324 0.000
Mg Zr Pt
2 1 1
direct
0.000 0.000 0.000
0.250 0.250 0.250
0.750 0.750 0.750
0.500 0.500 0.500
```

Values from the calculation:
N(E_F)	2.26	states/eV per cell
theoretical density	7.57	g/cm3
E_tot	-5.02	eV/atom
energy relative to the elements	-0.575	eV/atom

(6)
This record from the Alexandria database describes a relaxed structure of Ac5Sn2N2. The functional is GGA-PBE.

Cell and atoms, written as POSCAR:
```
Ac5Sn2N2
1.0
5.234 0.000 0.000
0.000 5.234 0.000
0.000 0.000 10.426
Ac Sn N
5 2 2
direct
0.000 0.000 0.000
0.000 0.500 0.285
0.000 0.500 0.715
0.500 0.000 0.285
0.500 0.000 0.715
0.500 0.500 0.000
0.500 0.500 0.500
0.000 0.000 0.242
0.000 0.000 0.758
```

Values from the calculation:
N(E_F)	3.16	states/eV per cell
theoretical density	8.14	g/cm3
formation energy (no corrections)	-831	meV/atom
E_tot	-5.85	eV/atom

(7)
This record from the Alexandria database describes a relaxed structure of KAl4Os. The functional is GGA-PBE.

Cell and atoms, written as POSCAR:
```
KAl4Os
1.0
0.000 3.750 3.750
3.750 0.000 3.750
3.750 3.750 0.000
K Al Os
1 4 1
direct
0.000 0.000 0.000
0.376 0.376 0.376
0.376 0.376 0.871
0.376 0.871 0.376
0.871 0.376 0.376
0.750 0.750 0.750
```

Values from the calculation:
N(E_F)	2.49	states/eV per cell
theoretical density	5.31	g/cm3
E_tot	-4.10	eV/atom
energy relative to the elements	0.448	eV/atom

(8)
This record from the Alexandria database describes a relaxed structure of LiTaCoH2. The functional is GGA-PBE.

Cell and atoms, written as POSCAR:
```
LiTaCoH2
1.0
3.535 0.000 0.000
0.000 3.535 0.000
0.000 0.000 4.611
Li Ta Co H
1 1 1 2
direct
0.000 0.000 0.000
0.500 0.500 0.000
0.500 0.500 0.500
0.000 0.500 0.500
0.500 0.000 0.500
```

Values from the calculation:
N(E_F)	3.28	states/eV per cell
theoretical density	7.17	g/cm3
E_tot	-4.65	eV/atom

(9)
This record from the Alexandria database describes a relaxed structure of La2ErPb3. The functional is GGA-PBE.

Cell and atoms, written as POSCAR:
```
La2ErPb3
1.0
2.560 -7.726 0.000
2.560 7.726 0.000
0.000 0.000 9.178
La Er Pb
4 2 6
direct
0.000 0.000 0.000
0.000 0.000 0.500
0.334 0.666 0.000
0.666 0.334 0.000
0.330 0.670 0.500
0.670 0.330 0.500
0.170 0.830 0.258
0.170 0.830 0.742
0.500 0.500 0.258
0.500 0.500 0.742
0.830 0.170 0.258
0.830 0.170 0.742
```

Values from the calculation:
N(E_F)	10.83	states/eV per cell
theoretical density	9.76	g/cm3
E_tot	-4.77	eV/atom
energy relative to the elements	-0.517	eV/atom
distance to the lowest polymorph of the same formula	0	meV per atom

(10)
This record from the Alexandria database describes a relaxed structure of Rb2ErZrSe4. The functional is GGA-PBE.

Cell and atoms, written as POSCAR:
```
Rb2ErZrSe4
1.0
7.096 0.000 0.000
0.000 4.059 0.000
-2.327 0.000 8.033
Rb Er Zr Se
2 1 1 4
direct
0.000 0.000 0.000
0.500 0.500 0.000
0.000 0.500 0.500
0.500 0.000 0.500
0.240 0.000 0.696
0.277 0.500 0.307
0.723 0.500 0.693
0.760 0.000 0.304
```

Values from the calculation:
N(E_F)	3.24	states/eV per cell
theoretical density	5.35	g/cm3
formation energy (no corrections)	-1494	meV/atom
E_tot	-5.12	eV/atom

(11)
This record from the Alexandria database describes a relaxed structure of Tm2AlPt. The functional is GGA-PBE.

Cell and atoms, written as POSCAR:
```
Tm2AlPt
1.0
0.000 3.506 3.506
3.506 0.000 3.506
3.506 3.506 0.000
Tm Al Pt
2 1 1
direct
0.250 0.250 0.250
0.750 0.750 0.750
0.000 0.000 0.000
0.500 0.500 0.500
```

Values from the calculation:
N(E_F)	3.20	states/eV per cell
theoretical density	10.79	g/cm3
E_tot	-5.46	eV/atom
energy relative to the elements	-0.780	eV/atom
distance to the lowest polymorph of the same formula	94	meV per atom

(12)
This record from the Alexandria database describes a relaxed structure of SrSb2. The functional is GGA-PBE.

Cell and atoms, written as POSCAR:
```
SrSb2
1.0
5.859 -2.162 0.000
5.859 2.162 0.000
-0.036 0.000 8.027
Sr Sb
2 4
direct
0.057 0.057 0.269
0.943 0.943 0.731
0.327 0.327 0.396
0.372 0.372 0.040
0.628 0.628 0.960
0.673 0.673 0.604
```

Values from the calculation:
N(E_F)	3.21	states/eV per cell
theoretical density	5.41	g/cm3
formation energy (no corrections)	-498	meV/atom
E_tot	-3.81	eV/atom

- Which of these has the lowest theoretical density?
  YTlCl2

- Look up the N(E_F) of the fifth one.
  2.26 states/eV per cell

- Among the records above, which one has the highest N(E_F)?
  La2ErPb3